28
Lattice="3.057 1.765 9.978 -3.057 1.765 9.978 0.000 -3.530 9.978" Properties=species:S:1:pos:R:3 comment="GGA+U Mn3Fe8CuO16, optimized geometry" energy_ev_per_atom=-6.84 spacegroup="R3m (160)" pbc="T T T"
Mn 0.000 0.000 0.000
Mn 0.000 0.000 3.754
Mn 0.000 0.000 18.708
Fe 0.000 -1.761 6.847
Fe -1.525 0.881 6.847
Fe -1.525 -0.880 11.876
Fe 0.000 0.000 9.363
Fe 1.525 0.881 6.847
Fe 1.525 -0.880 11.876
Fe 0.000 1.761 11.876
Fe 0.000 0.000 24.329
Cu 0.000 0.000 14.977
O -1.659 -0.958 15.637
O 0.000 0.000 5.820
O 0.000 -1.575 10.691
O -1.364 0.787 10.691
O 0.000 -1.959 18.022
O -1.697 0.980 18.022
O 0.000 0.000 12.970
O -1.364 -0.788 23.016
O 1.364 0.787 10.691
O 0.000 0.000 20.791
O 1.659 -0.958 15.637
O 0.000 1.916 15.637
O 1.364 -0.788 23.016
O 0.000 1.575 23.016
O 0.000 0.000 27.845
O 1.697 0.980 18.022